Record 1
LiIn2Te: relaxed, PBE-GGA.

Lattice parameters (Å, degrees): 7.5620 7.5620 7.5620 90.00 90.00 90.00
Space group F-43m (No. 216)
Asymmetric unit:
Li: 0.0000 0.0000 0.0000 (multiplicity 4)
In: 0.0000 0.0000 0.5000 (multiplicity 4)
In: 0.2500 0.2500 0.7500 (multiplicity 4)
Te: 0.2500 0.2500 0.2500 (multiplicity 4)

Results
DOS at the Fermi energy in states/eV per atom: 0.9246
Total magnetic moment in μB per formula unit: 0.00
V in Å³/atom: 27.027



Record 2
LiInTe4: relaxed, PBE-GGA.

Lattice parameters (Å, degrees): 9.2049 9.2049 9.2049 90.00 90.00 90.00
Space group F-43m (No. 216)
Asymmetric unit:
Li: 0.0000 0.0000 0.0000 (multiplicity 4)
In: 0.2500 0.2500 0.2500 (multiplicity 4)
Te: 0.1251 0.1251 0.6251 (multiplicity 16)

Results
DOS at the Fermi energy in states/eV per atom: 0.1243
Total magnetic moment in μB per formula unit: 0.00
V in Å³/atom: 32.497



Record 3
LiIn2Te: relaxed, PBE-GGA.

Lattice parameters (Å, degrees): 3.2322 4.3005 7.7426 90.00 90.00 90.00
Space group Pmm2 (No. 25)
Asymmetric unit:
Li: 0.0000 0.0000 0.0000 (multiplicity 1)
In: 0.0000 0.0000 0.4968 (multiplicity 1)
In: 0.5000 0.5000 0.7381 (multiplicity 1)
Te: 0.5000 0.5000 0.1417 (multiplicity 1)

Results
DOS at the Fermi energy in states/eV per atom: 0.3740
Total magnetic moment in μB per formula unit: 0.00
V in Å³/atom: 26.906



Record 4
LiInTe2: relaxed, PBE-GGA.

Lattice parameters (Å, degrees): 4.3000 4.1294 6.3879 90.00 99.85 90.00
Space group P2/m (No. 10)
Asymmetric unit:
Li: 0.0000 0.0000 0.0000 (multiplicity 1)
In: 0.0000 0.0000 0.5000 (multiplicity 1)
Te: 0.4434 0.5000 0.2233 (multiplicity 2)

Results
DOS at the Fermi energy in states/eV per atom: 0.3812
Total magnetic moment in μB per formula unit: 0.00
V in Å³/atom: 27.938



Record 5
LiInTe3: relaxed, PBE-GGA.

Lattice parameters (Å, degrees): 5.2512 5.2512 5.2512 90.00 90.00 90.00
Space group Pm-3m (No. 221)
Asymmetric unit:
Li: 0.0000 0.0000 0.0000 (multiplicity 1)
In: 0.5000 0.5000 0.5000 (multiplicity 1)
Te: 0.0000 0.0000 0.5000 (multiplicity 3)

Results
Energy above the lowest structure with this stoichiometry in meV per atom: 500
DOS at the Fermi energy in states/eV per atom: 1.5919
Total magnetic moment in μB per formula unit: 0.00
V in Å³/atom: 28.961



Record 6
Li2InTe: relaxed, PBE-GGA.

Lattice parameters (Å, degrees): 4.6760 4.7146 8.3342 90.00 90.00 90.00
Space group Immm (No. 71)
Asymmetric unit:
Li: 0.0000 0.0000 0.2487 (multiplicity 4)
In: 0.0000 0.5000 0.0000 (multiplicity 2)
Te: 0.0000 0.5000 0.5000 (multiplicity 2)

Results
Energy above the lowest structure with this stoichiometry in meV per atom: 79
DOS at the Fermi energy in states/eV per atom: 0.2833
Total magnetic moment in μB per formula unit: 0.00
V in Å³/atom: 22.967



Record 7
LiIn2Te2: relaxed, PBE-GGA.

Lattice parameters (Å, degrees): 4.3419 4.3419 16.1497 90.00 90.00 90.00
Space group I4/mmm (No. 139)
Asymmetric unit:
Li: 0.0000 0.0000 0.0000 (multiplicity 2)
In: 0.0000 0.5000 0.2500 (multiplicity 4)
Te: 0.0000 0.0000 0.4095 (multiplicity 4)

Results
Energy above the lowest structure with this stoichiometry in meV per atom: 110
DOS at the Fermi energy in states/eV per atom: 0.3433
Total magnetic moment in μB per formula unit: 0.00
V in Å³/atom: 30.446



Record 8
Li2InTe: relaxed, PBE-GGA.

Lattice parameters (Å, degrees): 3.5376 3.5376 26.0557 90.00 90.00 120.00
Space group R-3m (No. 166, hexagonal axes)
Asymmetric unit:
Li: 0.0000 0.0000 0.2416 (multiplicity 6)
In: 0.0000 0.0000 0.0000 (multiplicity 3)
Te: 0.0000 0.0000 0.5000 (multiplicity 3)

Results
Energy above the lowest structure with this stoichiometry in meV per atom: 185
DOS at the Fermi energy in states/eV per atom: 0.3085
Total magnetic moment in μB per formula unit: 0.00
V in Å³/atom: 23.532



Record 9
LiIn2Te2: relaxed, PBE-GGA.

Lattice parameters (Å, degrees): 8.3717 8.3717 4.3666 90.00 90.00 90.00
Space group P4/mbm (No. 127)
Asymmetric unit:
Li: 0.0000 0.0000 0.0000 (multiplicity 2)
In: 0.1244 0.3756 0.5000 (multiplicity 4)
Te: 0.2011 0.7011 0.0000 (multiplicity 4)

Results
Energy above the lowest structure with this stoichiometry in meV per atom: 0
DOS at the Fermi energy in states/eV per atom: 0.6956
Total magnetic moment in μB per formula unit: 0.00
V in Å³/atom: 30.603



Record 10
Li2InTe: relaxed, PBE-GGA.

Lattice parameters (Å, degrees): 7.4184 7.4184 7.4184 90.00 90.00 90.00
Space group F-43m (No. 216)
Asymmetric unit:
Li: 0.0000 0.0000 0.0000 (multiplicity 4)
Li: 0.2500 0.2500 0.2500 (multiplicity 4)
In: 0.0000 0.0000 0.5000 (multiplicity 4)
Te: 0.2500 0.2500 0.7500 (multiplicity 4)

Results
Energy above the lowest structure with this stoichiometry in meV per atom: 279
DOS at the Fermi energy in states/eV per atom: 0.2092
Total magnetic moment in μB per formula unit: 0.00
V in Å³/atom: 25.516



Record 11
LiInTe2: relaxed, PBE-GGA.

Lattice parameters (Å, degrees): 4.5751 4.5751 7.4608 90.00 90.00 120.00
Space group P3m1 (No. 156)
Asymmetric unit:
Li: 0.0000 0.0000 0.0000 (multiplicity 1)
In: 0.6667 0.3333 0.5715 (multiplicity 1)
Te: 0.0000 0.0000 0.3981 (multiplicity 1)
Te: 0.6667 0.3333 0.9355 (multiplicity 1)

Results
DOS at the Fermi energy in states/eV per atom: 0.1344
Total magnetic moment in μB per formula unit: 0.00
V in Å³/atom: 33.811



Record 12
LiIn2Te: relaxed, PBE-GGA.

Lattice parameters (Å, degrees): 9.5912 4.0180 6.5296 90.00 114.39 90.00
Space group Cm (No. 8)
Asymmetric unit:
Li: 0.0000 0.0000 0.0000 (multiplicity 2)
In: 0.1224 0.0000 0.6188 (multiplicity 2)
In: 0.3610 0.0000 0.4531 (multiplicity 2)
Te: 0.2208 0.5000 0.0407 (multiplicity 2)

Results
DOS at the Fermi energy in states/eV per atom: 0.2801
Total magnetic moment in μB per formula unit: 0.00
V in Å³/atom: 28.646



One value per record, in order, for electronic total energy: -2.78; -2.83; -2.89; -3.07; -2.74; -2.88; -2.94; -2.77; -3.05; -2.68; -3.30; -2.96 eV/atom.
One value per record, in order, for uncorrected formation energy: -0.143; 0.044; -0.253; -0.337; 0.077; -0.449; -0.208; -0.344; -0.318; -0.249; -0.567; -0.322 eV/atom.